# AcGaNiBr | Alexandria | PBE-GGA | optimized geometry
# **Size of the total moment**: 0.00 μB per atom
# **Total energy**: -0.16674 Ha/atom
# **Formation energy without anion corrections**: -890 meV per atom
# **Fermi-level density of states**: 4.1 states/eV/cell
# **Space-group type**: R-3m (166)
data_AcGaNiBr
_cell_length_a 4.340
_cell_length_b 4.340
_cell_length_c 14.159
_cell_angle_alpha 81.18
_cell_angle_beta 81.18
_cell_angle_gamma 60.00
_symmetry_space_group_name_H-M 'P 1'
_symmetry_Int_Tables_number 1
_symmetry_space_group_name_Hall 'P 1'
loop_
_atom_site_label
_atom_site_fract_x
_atom_site_fract_y
_atom_site_fract_z
Br1 0.790 0.790 0.629
Br2 0.210 0.210 0.371
Ni1 0.633 0.633 0.100
Ni2 0.367 0.367 0.900
Ga1 0.310 0.310 0.070
Ga2 0.690 0.690 0.930
Ac1 0.925 0.925 0.226
Ac2 0.075 0.075 0.774

# Ac6GaOs2Br3 | Alexandria | PBE-GGA | optimized geometry
# **Size of the total moment**: 0.00 μB per atom
# **Total energy**: -0.19896 Ha/atom
# **Formation energy without anion corrections**: -818 meV per atom
# **Fermi-level density of states**: 8.2 states/eV/cell
# **Space-group type**: C2/m (12)
data_Ac6GaOs2Br3
_cell_length_a 7.694
_cell_length_b 7.694
_cell_length_c 8.573
_cell_angle_alpha 98.63
_cell_angle_beta 98.63
_cell_angle_gamma 119.99
_symmetry_space_group_name_H-M 'P 1'
_symmetry_Int_Tables_number 1
_symmetry_space_group_name_Hall 'P 1'
loop_
_atom_site_label
_atom_site_fract_x
_atom_site_fract_y
_atom_site_fract_z
Ga1 0.000 0.000 0.000
Ac1 0.423 0.066 0.198
Ac2 0.709 0.709 0.198
Ac3 0.291 0.291 0.802
Ac4 0.934 0.577 0.802
Ac5 0.066 0.423 0.198
Ac6 0.577 0.934 0.802
Os1 0.667 0.333 0.000
Os2 0.333 0.667 0.000
Br1 0.835 0.165 0.500
Br2 0.500 0.500 0.500
Br3 0.165 0.835 0.500

# Ac8Ga3PBr4 | Alexandria | PBE-GGA | optimized geometry
# **Size of the total moment**: 0.00 μB per atom
# **Total energy**: -0.16187 Ha/atom
# **Formation energy without anion corrections**: -1027 meV per atom
# **Fermi-level density of states**: 10.5 states/eV/cell
# **Space-group type**: R-3m (166)
data_Ac8Ga3PBr4
_cell_length_a 9.243
_cell_length_b 9.193
_cell_length_c 9.243
_cell_angle_alpha 120.18
_cell_angle_beta 120.00
_cell_angle_gamma 90.00
_symmetry_space_group_name_H-M 'P 1'
_symmetry_Int_Tables_number 1
_symmetry_space_group_name_Hall 'P 1'
loop_
_atom_site_label
_atom_site_fract_x
_atom_site_fract_y
_atom_site_fract_z
Ga1 0.500 0.500 0.000
Ga2 0.500 0.500 0.500
Ga3 0.000 0.500 0.500
Ac1 0.259 0.277 0.518
Ac2 0.762 0.280 0.523
Ac3 0.238 0.720 0.982
Ac4 0.257 0.280 0.018
Ac5 0.762 0.280 0.018
Ac6 0.238 0.720 0.477
Ac7 0.743 0.720 0.982
Ac8 0.741 0.723 0.482
Br1 0.500 0.000 0.500
Br2 0.000 0.000 0.000
Br3 0.000 0.000 0.500
Br4 0.500 0.000 0.000
P1 0.000 0.500 0.000

# AcPrGaBr | Alexandria | PBE-GGA | optimized geometry
# **Size of the total moment**: 0.00 μB per atom
# **Total energy**: -0.15115 Ha/atom
# **Formation energy without anion corrections**: -716 meV per atom
# **Fermi-level density of states**: 3.6 states/eV/cell
# **Space-group type**: F-43m (216)
data_AcPrGaBr
_cell_length_a 5.497
_cell_length_b 5.497
_cell_length_c 5.497
_cell_angle_alpha 60.00
_cell_angle_beta 60.00
_cell_angle_gamma 60.00
_symmetry_space_group_name_H-M 'P 1'
_symmetry_Int_Tables_number 1
_symmetry_space_group_name_Hall 'P 1'
loop_
_atom_site_label
_atom_site_fract_x
_atom_site_fract_y
_atom_site_fract_z
Ga1 0.750 0.750 0.750
Pr1 0.500 0.500 0.500
Br1 0.250 0.250 0.250
Ac1 0.000 0.000 0.000

# Ac4GaPtBr2 | Alexandria | PBE-GGA | optimized geometry
# **Size of the total moment**: 0.00 μB per atom
# **Total energy**: -0.17208 Ha/atom
# **Formation energy without anion corrections**: -1077 meV per atom
# **Fermi-level density of states**: 7.4 states/eV/cell
# **Space-group type**: P2/m (10)
data_Ac4GaPtBr2
_cell_length_a 4.413
_cell_length_b 8.243
_cell_length_c 8.141
_cell_angle_alpha 72.60
_cell_angle_beta 90.00
_cell_angle_gamma 90.00
_symmetry_space_group_name_H-M 'P 1'
_symmetry_Int_Tables_number 1
_symmetry_space_group_name_Hall 'P 1'
loop_
_atom_site_label
_atom_site_fract_x
_atom_site_fract_y
_atom_site_fract_z
Br1 0.500 0.000 0.500
Br2 0.000 0.000 0.000
Ga1 0.000 0.500 0.500
Pt1 0.500 0.500 0.000
Ac1 0.000 0.703 0.774
Ac2 0.500 0.282 0.752
Ac3 0.500 0.718 0.248
Ac4 0.000 0.297 0.226

# Ac4GaRhBr2 | Alexandria | PBE-GGA | optimized geometry
# **Size of the total moment**: 0.00 μB per atom
# **Total energy**: -0.17477 Ha/atom
# **Formation energy without anion corrections**: -986 meV per atom
# **Fermi-level density of states**: 6.3 states/eV/cell
# **Space-group type**: P2/m (10)
data_Ac4GaRhBr2
_cell_length_a 4.440
_cell_length_b 7.933
_cell_length_c 8.435
_cell_angle_alpha 107.46
_cell_angle_beta 90.00
_cell_angle_gamma 90.00
_symmetry_space_group_name_H-M 'P 1'
_symmetry_Int_Tables_number 1
_symmetry_space_group_name_Hall 'P 1'
loop_
_atom_site_label
_atom_site_fract_x
_atom_site_fract_y
_atom_site_fract_z
Ac1 0.000 0.726 0.200
Ac2 0.500 0.740 0.797
Ac3 0.500 0.260 0.203
Ac4 0.000 0.274 0.800
Ga1 0.000 0.000 0.000
Rh1 0.500 0.500 0.000
Br1 0.000 0.500 0.500
Br2 0.500 0.000 0.500

# Ac6GaRh2Br3 | Alexandria | PBE-GGA | optimized geometry
# **Size of the total moment**: 0.00 μB per atom
# **Total energy**: -0.18330 Ha/atom
# **Formation energy without anion corrections**: -1038 meV per atom
# **Fermi-level density of states**: 5.1 states/eV/cell
# **Space-group type**: C2/m (12)
data_Ac6GaRh2Br3
_cell_length_a 7.728
_cell_length_b 7.728
_cell_length_c 8.568
_cell_angle_alpha 98.65
_cell_angle_beta 98.65
_cell_angle_gamma 120.04
_symmetry_space_group_name_H-M 'P 1'
_symmetry_Int_Tables_number 1
_symmetry_space_group_name_Hall 'P 1'
loop_
_atom_site_label
_atom_site_fract_x
_atom_site_fract_y
_atom_site_fract_z
Ac1 0.417 0.066 0.199
Ac2 0.934 0.583 0.801
Ac3 0.285 0.285 0.801
Ac4 0.715 0.715 0.199
Ac5 0.066 0.417 0.199
Ac6 0.583 0.934 0.801
Ga1 0.000 0.000 0.000
Rh1 0.333 0.667 0.000
Rh2 0.667 0.333 0.000
Br1 0.837 0.163 0.500
Br2 0.500 0.500 0.500
Br3 0.163 0.837 0.500

# Ac8GaRh3Br4 | Alexandria | PBE-GGA | optimized geometry
# **Size of the total moment**: 0.00 μB per atom
# **Total energy**: -0.18723 Ha/atom
# **Formation energy without anion corrections**: -1055 meV per atom
# **Fermi-level density of states**: 12.0 states/eV/cell
# **Space-group type**: R-3m (166)
data_Ac8GaRh3Br4
_cell_length_a 8.880
_cell_length_b 9.651
_cell_length_c 8.880
_cell_angle_alpha 117.37
_cell_angle_beta 120.00
_cell_angle_gamma 90.00
_symmetry_space_group_name_H-M 'P 1'
_symmetry_Int_Tables_number 1
_symmetry_space_group_name_Hall 'P 1'
loop_
_atom_site_label
_atom_site_fract_x
_atom_site_fract_y
_atom_site_fract_z
Br1 0.500 0.000 0.500
Br2 0.000 0.000 0.000
Br3 0.500 0.000 0.000
Br4 0.000 0.000 0.500
Ac1 0.734 0.701 0.467
Ac2 0.239 0.695 0.478
Ac3 0.717 0.695 0.956
Ac4 0.761 0.305 0.522
Ac5 0.266 0.299 0.533
Ac6 0.761 0.305 0.044
Ac7 0.239 0.695 0.956
Ac8 0.283 0.305 0.044
Rh1 0.500 0.500 0.500
Rh2 0.000 0.500 0.500
Rh3 0.500 0.500 0.000
Ga1 0.000 0.500 0.000

# Ac6GaRu2Br3 | Alexandria | PBE-GGA | optimized geometry
# **Size of the total moment**: 0.00 μB per atom
# **Total energy**: -0.18930 Ha/atom
# **Formation energy without anion corrections**: -881 meV per atom
# **Fermi-level density of states**: 7.6 states/eV/cell
# **Space-group type**: C2/m (12)
data_Ac6GaRu2Br3
_cell_length_a 7.659
_cell_length_b 7.659
_cell_length_c 8.594
_cell_angle_alpha 98.55
_cell_angle_beta 98.55
_cell_angle_gamma 120.00
_symmetry_space_group_name_H-M 'P 1'
_symmetry_Int_Tables_number 1
_symmetry_space_group_name_Hall 'P 1'
loop_
_atom_site_label
_atom_site_fract_x
_atom_site_fract_y
_atom_site_fract_z
Ga1 0.000 0.000 0.000
Ac1 0.934 0.577 0.802
Ac2 0.291 0.291 0.802
Ac3 0.709 0.709 0.198
Ac4 0.423 0.066 0.198
Ac5 0.577 0.934 0.802
Ac6 0.066 0.423 0.198
Ru1 0.333 0.667 0.000
Ru2 0.667 0.333 0.000
Br1 0.166 0.834 0.500
Br2 0.500 0.500 0.500
Br3 0.834 0.166 0.500

# Ac4GaSBr2 | Alexandria | PBE-GGA | optimized geometry
# **Size of the total moment**: 0.00 μB per atom
# **Total energy**: -0.16997 Ha/atom
# **Formation energy without anion corrections**: -1258 meV per atom
# **Fermi-level density of states**: 4.8 states/eV/cell
# **Space-group type**: P2/m (10)
data_Ac4GaSBr2
_cell_length_a 4.555
_cell_length_b 7.605
_cell_length_c 8.162
_cell_angle_alpha 109.58
_cell_angle_beta 90.00
_cell_angle_gamma 90.00
_symmetry_space_group_name_H-M 'P 1'
_symmetry_Int_Tables_number 1
_symmetry_space_group_name_Hall 'P 1'
loop_
_atom_site_label
_atom_site_fract_x
_atom_site_fract_y
_atom_site_fract_z
Ac1 0.500 0.767 0.788
Ac2 0.000 0.254 0.784
Ac3 0.500 0.233 0.212
Ac4 0.000 0.746 0.216
Br1 0.500 0.000 0.500
Br2 0.000 0.500 0.500
S1 0.000 0.000 0.000
Ga1 0.500 0.500 0.000

# Ac4GaSe2Br | Alexandria | PBE-GGA | optimized geometry
# **Size of the total moment**: 0.00 μB per atom
# **Total energy**: -0.17923 Ha/atom
# **Formation energy without anion corrections**: -1364 meV per atom
# **Fermi-level density of states**: 5.2 states/eV/cell
# **Space-group type**: P2/m (10)
data_Ac4GaSe2Br
_cell_length_a 4.498
_cell_length_b 7.892
_cell_length_c 7.894
_cell_angle_alpha 71.02
_cell_angle_beta 90.00
_cell_angle_gamma 90.00
_symmetry_space_group_name_H-M 'P 1'
_symmetry_Int_Tables_number 1
_symmetry_space_group_name_Hall 'P 1'
loop_
_atom_site_label
_atom_site_fract_x
_atom_site_fract_y
_atom_site_fract_z
Ac1 0.000 0.751 0.759
Ac2 0.500 0.759 0.232
Ac3 0.000 0.249 0.241
Ac4 0.500 0.241 0.768
Se1 0.500 0.000 0.500
Se2 0.000 0.000 0.000
Br1 0.000 0.500 0.500
Ga1 0.500 0.500 0.000

# Ac8Ga3SiBr4 | Alexandria | PBE-GGA | optimized geometry
# **Size of the total moment**: 0.00 μB per atom
# **Total energy**: -0.15812 Ha/atom
# **Formation energy without anion corrections**: -924 meV per atom
# **Fermi-level density of states**: 9.7 states/eV/cell
# **Space-group type**: R-3m (166)
data_Ac8Ga3SiBr4
_cell_length_a 9.334
_cell_length_b 9.189
_cell_length_c 9.331
_cell_angle_alpha 120.51
_cell_angle_beta 120.01
_cell_angle_gamma 90.00
_symmetry_space_group_name_H-M 'P 1'
_symmetry_Int_Tables_number 1
_symmetry_space_group_name_Hall 'P 1'
loop_
_atom_site_label
_atom_site_fract_x
_atom_site_fract_y
_atom_site_fract_z
Ac1 0.760 0.278 0.520
Ac2 0.240 0.722 0.480
Ac3 0.743 0.722 0.983
Ac4 0.240 0.722 0.983
Ac5 0.741 0.724 0.483
Ac6 0.760 0.278 0.017
Ac7 0.257 0.278 0.017
Ac8 0.259 0.276 0.517
Ga1 0.500 0.500 0.000
Ga2 0.500 0.500 0.500
Ga3 0.000 0.500 0.500
Br1 0.500 0.000 0.500
Br2 0.000 0.000 0.500
Br3 0.500 0.000 0.000
Br4 0.000 0.000 0.000
Si1 0.000 0.500 0.000